12
Lattice="6.2964 -0.0007 0.0193 -3.1473 5.4534 0.0193 -1.0826 -1.8745 11.7450" Properties=species:S:1:pos:R:3 comment="PrNd6Y2Ho3 PBE-GGA relaxed" ef_ev_per_atom=0.0123 crystal_system=monoclinic sg=C2/m magnetic_moment_mub_per_cell=0.0 final_energy_ev_per_atom=-4.99 volume_a3_per_atom=33.64 dos_at_fermi_per_ev_cell=14.56 pbc="T T T"
Y 3.1476 1.8179 0.0193
Nd 2.0930 -0.0122 2.9826
Nd 3.1230 1.7713 8.8009
Nd -0.0265 3.5903 8.8009
Ho 1.0332 1.7891 5.8918
Nd -1.0565 1.8068 2.9826
Nd 2.0924 3.6229 2.9995
Y 0.0015 3.6348 0.0193
Pr 0.0000 0.0000 0.0000
Ho 4.1793 -0.0279 5.8918
Ho -2.1128 3.6060 5.8918
Nd -0.0259 -0.0448 8.7840